Below is crystalline Li2La3Ag2Hg4 at its relaxed geometry, with properties calculated at the GGA-PBE level.

Summary:
density of states at the Fermi level = 0.62 states/eV/atom
crystal system = trigonal
total energy = -2.651 eV per atom

```
Li2La3Ag2Hg4
1.0
-3.5108 -3.4030 0.8848
4.0112 0.2489 2.9218
-6.3879 8.6780 8.0305
Li La Ag Hg
2 3 2 4
direct
0.6667 0.3333 0.4244
0.3333 0.6667 0.5756
0.0000 0.0000 0.7375
0.0000 0.0000 0.0000
0.0000 0.0000 0.2625
0.6667 0.3333 0.8659
0.3333 0.6667 0.1341
0.6667 0.3333 0.1373
0.3333 0.6667 0.8627
0.6667 0.3333 0.6196
0.3333 0.6667 0.3804
```